PmErZn6: optimized geometry, GGA-PBE.

Unit cell a=4.4082 b=6.2126 c=6.2126 alpha=115.79 beta=90.00 gamma=90.00
Atoms (fractional coordinates):
Pm 0.0000 0.1022 0.8978
Er 0.5000 0.3993 0.6007
Zn 0.0000 0.0415 0.3727
Zn 0.0000 0.6273 0.9585
Zn 0.0000 0.5893 0.4107
Zn 0.5000 0.4650 0.1298
Zn 0.5000 0.8702 0.5350
Zn 0.5000 0.9050 0.0950

Values from the calculation:
Density of states at the Fermi level in states/eV per atom: 0.413
Calculated formation energy in kJ/mol of atoms: -29.26

---

ScZnTc: optimized geometry, GGA-PBE.

Unit cell a=4.4575 b=5.0286 c=9.1833 alpha=90.00 beta=90.00 gamma=90.00
Atoms (fractional coordinates):
Sc 0.2500 0.2899 0.1018
Sc 0.7500 0.7101 0.1018
Sc 0.2500 0.7899 0.6018
Sc 0.7500 0.2101 0.6018
Zn 0.2500 0.8580 0.9096
Zn 0.7500 0.1420 0.9096
Zn 0.2500 0.3580 0.4096
Zn 0.7500 0.6420 0.4096
Tc 0.2500 0.3743 0.7901
Tc 0.7500 0.6257 0.7901
Tc 0.2500 0.8743 0.2901
Tc 0.7500 0.1257 0.2901

Values from the calculation:
Density of states at the Fermi level in states/eV per atom: 0.502
Calculated formation energy in kJ/mol of atoms: -14.88

---

RbLi2Cd: optimized geometry, GGA-PBE.

Unit cell a=3.8066 b=3.8066 c=8.5329 alpha=90.00 beta=90.00 gamma=90.00
Atoms (fractional coordinates):
Li 0.0000 0.0000 0.8462
Li 0.0000 0.0000 0.1538
Rb 0.5000 0.5000 0.5000
Cd 0.5000 0.5000 0.0000

Values from the calculation:
Density of states at the Fermi level in states/eV per atom: 0.393
Calculated formation energy in kJ/mol of atoms: 1.94

---

CaReBr6: optimized geometry, GGA-PBE.

Unit cell a=6.7832 b=6.7750 c=7.3864 alpha=62.75 beta=63.02 gamma=60.29
Each line ends with the local moment (μB).
Atoms (fractional coordinates):
Ca 0.5000 0.5000 0.5000  0.02
Re 0.0000 0.0000 0.0000  2.19
Br 0.0623 0.3916 0.7685  0.05
Br 0.7752 0.0594 0.7717  0.05
Br 0.6113 0.2211 0.2301  0.05
Br 0.2248 0.9406 0.2283  0.05
Br 0.9377 0.6084 0.2315  0.05
Br 0.3887 0.7789 0.7699  0.05

Values from the calculation:
E_form (uncorrected) in eV per atom: -0.92

---

Ti6Rh2N: optimized geometry, GGA-PBE.

Unit cell a=2.9429 b=7.1420 c=7.3241 alpha=119.18 beta=90.00 gamma=90.00
Atoms (fractional coordinates):
Ti 0.5000 0.5662 0.0000
Ti 0.5000 0.4345 0.3909
Ti 0.5000 0.0436 0.6091
Ti 0.0000 0.2153 0.0000
Ti 0.0000 0.7748 0.7790
Ti 0.0000 0.9959 0.2210
Rh 0.0000 0.3575 0.6523
Rh 0.0000 0.7052 0.3477
N 0.5000 0.9070 0.0000

Values from the calculation:
Density of states at the Fermi level in states/eV per atom: 1.293
E_form (uncorrected) in eV per atom: -0.61

---

Nd12Tl6Cd: optimized geometry, GGA-PBE.

Unit cell a=9.1349 b=9.1349 c=9.1349 alpha=107.49 beta=107.49 gamma=107.49
Atoms (fractional coordinates):
Nd 0.9256 0.6786 0.5894
Nd 0.5894 0.9256 0.6786
Nd 0.6786 0.5894 0.9256
Nd 0.0744 0.3214 0.4106
Nd 0.4106 0.0744 0.3214
Nd 0.3214 0.4106 0.0744
Nd 0.0301 0.8853 0.3374
Nd 0.1147 0.6626 0.9699
Nd 0.6626 0.9699 0.1147
Nd 0.9699 0.1147 0.6626
Nd 0.8853 0.3374 0.0301
Nd 0.3374 0.0301 0.8853
Tl 0.6443 0.7625 0.3387
Tl 0.6613 0.3557 0.2375
Tl 0.2375 0.6613 0.3557
Tl 0.3557 0.2375 0.6613
Tl 0.3387 0.6443 0.7625
Tl 0.7625 0.3387 0.6443
Cd 0.0000 0.0000 0.0000

Values from the calculation:
Density of states at the Fermi level in states/eV per atom: 1.233
Calculated formation energy in kJ/mol of atoms: -8.10

---

KCuHg2Pt: optimized geometry, GGA-PBE.

Unit cell a=5.3407 b=5.3407 c=4.9533 alpha=90.00 beta=90.00 gamma=90.00
Atoms (fractional coordinates):
K 0.5000 0.5000 0.5000
Cu 0.0000 0.0000 0.5000
Hg 0.0000 0.5000 0.0000
Hg 0.5000 0.0000 0.0000
Pt 0.0000 0.0000 0.0000

Values from the calculation:
Density of states at the Fermi level in states/eV per atom: 0.212
Calculated formation energy in kJ/mol of atoms: -5.78

---

MnIrPb2: optimized geometry, GGA-PBE.

Unit cell a=4.7237 b=4.7237 c=4.7237 alpha=60.00 beta=60.00 gamma=60.00
Atoms (fractional coordinates):
Pb 0.2500 0.2500 0.2500
Pb 0.7500 0.7500 0.7500
Ir 0.5000 0.5000 0.5000
Mn 0.0000 0.0000 0.0000

Values from the calculation:
Density of states at the Fermi level in states/eV per atom: 0.419
Calculated formation energy in kJ/mol of atoms: 71.02

---

CdSiNiMo2: optimized geometry, GGA-PBE.

Unit cell a=4.6454 b=4.1344 c=4.6454 alpha=90.00 beta=90.00 gamma=90.00
Each line ends with the local moment (μB).
Atoms (fractional coordinates):
Ni 0.0000 0.0000 0.0000  0.20
Mo 0.0000 0.0000 0.5000  0.73
Mo 0.5000 0.0000 0.0000  0.69
Si 0.0000 0.5000 0.0000  -0.02
Cd 0.5000 0.5000 0.5000  0.00

Values from the calculation:
Density of states at the Fermi level in states/eV per atom: 1.499
E_form (uncorrected) in eV per atom: 0.98

---

AcPmNdZn: optimized geometry, GGA-PBE.

Unit cell a=5.6279 b=5.6279 c=5.6279 alpha=60.00 beta=60.00 gamma=60.00
Atoms (fractional coordinates):
Ac 0.0000 0.0000 0.0000
Nd 0.7500 0.7500 0.7500
Zn 0.5000 0.5000 0.5000
Pm 0.2500 0.2500 0.2500

Values from the calculation:
Density of states at the Fermi level in states/eV per atom: 1.368
Calculated formation energy in kJ/mol of atoms: 13.10

---

CsCdIr2: optimized geometry, GGA-PBE.

Unit cell a=4.8294 b=4.8294 c=10.3928 alpha=76.56 beta=76.56 gamma=90.00
Atoms (fractional coordinates):
Cs 0.0000 0.0000 0.0000
Cs 0.7500 0.2500 0.5000
Ir 0.3064 0.1250 0.2500
Ir 0.4436 0.6250 0.2500
Ir 0.3750 0.6936 0.7500
Ir 0.8750 0.5564 0.7500
Cd 0.5000 0.5000 0.0000
Cd 0.2500 0.7500 0.5000

Values from the calculation:
Density of states at the Fermi level in states/eV per atom: 1.049
Calculated formation energy in kJ/mol of atoms: 75.03

---

Tb4DyHg5: optimized geometry, GGA-PBE.

Unit cell a=3.7314 b=3.7314 c=18.7079 alpha=90.00 beta=90.00 gamma=90.00
Each line ends with the local moment (μB).
Atoms (fractional coordinates):
Tb 0.0000 0.0000 0.1997  0.08
Tb 0.0000 0.0000 0.4000  0.08
Tb 0.0000 0.0000 0.6000  0.08
Tb 0.0000 0.0000 0.8003  0.08
Dy 0.0000 0.0000 0.0000  0.05
Hg 0.5000 0.5000 0.0991  0.01
Hg 0.5000 0.5000 0.3000  0.01
Hg 0.5000 0.5000 0.5000  0.01
Hg 0.5000 0.5000 0.7000  0.01
Hg 0.5000 0.5000 0.9009  0.01

Values from the calculation:
Density of states at the Fermi level in states/eV per atom: 1.085
Calculated formation energy in kJ/mol of atoms: -46.36

---

Values of total magnetization, in order: 0.000, 0.000, 0.000, 3.000, 0.002, 0.002, 0.000, 0.003, 1.774, 0.000, 0.000, 0.584, all in Bohr magnetons per cell.